# 1
DFT (PBE) results for crystalline NdDyGa at its relaxed geometry.

## Properties
For the size of the total moment, the calculation gives 0.145 μB/f.u. The total energy comes out at -4.37 eV/atom. The calculated volume is 30.1 Å³ per atom. Its space-group type is F-43m (216).

Structure (extended XYZ):
```
3
Lattice="0.000 3.560 3.560 3.560 0.000 3.560 3.560 3.560 0.000" Properties=species:S:1:pos:R:3 pbc="T T T"
Nd 0.000 0.000 0.000
Dy 3.560 3.560 3.560
Ga 5.340 5.340 5.340
```



# 2
DFT (PBE) results for crystalline NdDyGa2 at its relaxed geometry.

## Properties
For the size of the total moment, the calculation gives 0.011 μB/f.u. The total energy comes out at -4.46 eV/atom. The calculated volume is 25.2 Å³ per atom. Its space-group type is Amm2 (38).

Structure (extended XYZ):
```
4
Lattice="4.113 0.000 0.000 0.000 2.212 5.548 0.000 -2.212 5.548" Properties=species:S:1:pos:R:3 pbc="T T T"
Nd 0.000 0.000 0.000
Dy 2.057 0.000 3.098
Ga 0.000 0.000 7.960
Ga 2.057 0.000 6.318
```



# 3
DFT (PBE) results for crystalline NdDyGa5 at its relaxed geometry.

## Properties
For the size of the total moment, the calculation gives 0.001 μB/f.u. The total energy comes out at -3.90 eV/atom. The calculated volume is 23.0 Å³ per atom. Its space-group type is P4/mmm (123).

Structure (extended XYZ):
```
7
Lattice="4.377 0.000 0.000 0.000 4.377 0.000 0.000 0.000 8.391" Properties=species:S:1:pos:R:3 pbc="T T T"
Nd 0.000 0.000 0.000
Dy 0.000 0.000 4.195
Ga 0.000 2.188 2.198
Ga 0.000 2.188 6.193
Ga 2.188 0.000 2.198
Ga 2.188 0.000 6.193
Ga 2.188 2.188 0.000
```